[1]
First-principles (PBE) data for an optimized crystal structure of LaSc2TeIr, as listed in Alexandria via LeMat-Bulk.

Geometry as POSCAR:
```
LaSc2TeIr
1.0
-3.461 0.620 -3.716
-0.935 -5.832 -0.102
-3.679 0.528 3.515
Sc Ir Te La
2 1 1 1
Direct
0.000 0.000 0.500
0.500 0.000 0.000
0.500 0.500 0.500
0.000 0.000 0.000
0.000 0.500 0.000
```

Values from the calculation:
**Symmetry**: P4/mmm (123)
**D(E_F)**: 7.0 states/eV/f.u.
**Calculated density**: 5.9 g/cm³
**DFT total energy**: -27.40 eV/cell
**Energy relative to the elements, uncorrected**: 0.438 eV per atom

***

[2]
First-principles (PBE) data for an optimized crystal structure of LaScTiIr2, as listed in Alexandria via LeMat-Bulk.

Geometry as POSCAR:
```
LaScTiIr2
1.0
4.302 0.000 0.000
0.000 4.302 0.000
-2.151 -2.151 5.723
La Sc Ti Ir
1 1 1 2
Direct
0.000 0.000 0.000
0.250 0.750 0.500
0.750 0.250 0.500
0.618 0.618 0.235
0.382 0.382 0.765
```

Values from the calculation:
**Symmetry**: I-4m2 (119)
**D(E_F)**: 4.3 states/eV/f.u.
**Calculated density**: 9.7 g/cm³
**Formation energy**: -3.89 eV per formula unit
**DFT total energy**: -40.76 eV/cell

***

[3]
First-principles (PBE) data for an optimized crystal structure of La2ScTlIr, as listed in Alexandria via LeMat-Bulk.

Geometry as POSCAR:
```
La2ScTlIr
1.0
-1.347 3.912 3.765
-2.926 -3.791 2.892
4.185 -1.165 2.708
Sc Tl Ir La
1 1 1 2
Direct
0.000 0.000 0.500
0.500 0.500 0.500
0.000 0.000 0.000
0.000 0.500 0.000
0.500 0.000 0.000
```

Values from the calculation:
**Symmetry**: P4/mmm (123)
**D(E_F)**: 6.6 states/eV/f.u.
**Calculated density**: 7.5 g/cm³
**Formation energy**: -1.99 eV per formula unit
**DFT total energy**: -29.40 eV/cell

***

[4]
First-principles (PBE) data for an optimized crystal structure of LaYSc2Ir, as listed in Alexandria via LeMat-Bulk.

Geometry as POSCAR:
```
LaYSc2Ir
1.0
5.169 0.000 0.000
0.000 5.169 0.000
0.000 0.000 5.422
Y Sc Ir La
1 2 1 1
Direct
0.000 0.000 0.500
0.000 0.500 0.000
0.500 0.000 0.000
0.000 0.000 0.000
0.500 0.500 0.500
```

Values from the calculation:
**Symmetry**: P4/mmm (123)
**D(E_F)**: 6.2 states/eV/f.u.
**Calculated density**: 5.8 g/cm³
**Formation energy**: -1.62 eV per formula unit
**DFT total energy**: -34.53 eV/cell

***

[5]
First-principles (PBE) data for an optimized crystal structure of LaZrScIr2, as listed in Alexandria via LeMat-Bulk.

Geometry as POSCAR:
```
LaZrScIr2
1.0
-4.202 0.681 -1.215
-1.392 -1.896 3.750
2.870 5.758 1.364
La Zr Sc Ir
1 1 1 2
Direct
0.000 0.000 0.000
0.750 0.250 0.500
0.250 0.750 0.500
0.614 0.614 0.229
0.386 0.386 0.771
```

Values from the calculation:
**Symmetry**: I-4m2 (119)
**D(E_F)**: 4.4 states/eV/f.u.
**Calculated density**: 9.7 g/cm³
**Formation energy**: -3.89 eV per formula unit
**DFT total energy**: -41.42 eV/cell

***

[6]
First-principles (PBE) data for an optimized crystal structure of LaIrSe4, as listed in Alexandria via LeMat-Bulk.

Geometry as POSCAR:
```
LaIrSe4
1.0
-3.174 -4.693 0.147
-3.953 -0.623 4.014
-5.494 0.250 -1.370
La Ir Se
1 1 4
Direct
0.000 0.000 0.000
0.750 0.750 0.750
0.870 0.377 0.377
0.377 0.377 0.870
0.377 0.870 0.377
0.377 0.377 0.377
```

Values from the calculation:
**Symmetry**: F-43m (216)
**D(E_F)**: 7.8 states/eV/f.u.
**Calculated density**: 8.3 g/cm³
**DFT total energy**: -26.26 eV/cell
**Energy relative to the elements, uncorrected**: 0.244 eV per atom

***

[7]
First-principles (PBE) data for an optimized crystal structure of LaIrSe2, as listed in Alexandria via LeMat-Bulk.

Geometry as POSCAR:
```
LaIrSe2
1.0
3.805 0.000 0.000
0.000 3.805 0.000
0.000 0.000 6.178
Ir La Se
1 1 2
Direct
0.000 0.000 0.404
0.500 0.500 0.786
0.000 0.000 0.983
0.500 0.500 0.326
```

Values from the calculation:
**Symmetry**: P4mm (99)
**D(E_F)**: 0.8 states/eV/f.u.
**Calculated density**: 9.1 g/cm³
**Offset from the most stable computed form**: 0.250 eV per atom
**DFT total energy**: -23.65 eV/cell
**Energy relative to the elements, uncorrected**: -0.724 eV per atom

***

[8]
First-principles (PBE) data for an optimized crystal structure of La2IrSe, as listed in Alexandria via LeMat-Bulk.

Geometry as POSCAR:
```
La2IrSe
1.0
-1.630 -4.899 -2.899
3.084 0.702 -2.920
2.761 -2.315 2.360
Ir Se La
1 1 2
Direct
0.500 0.875 0.875
0.000 0.375 0.375
0.000 0.875 0.875
0.500 0.375 0.375
```

Values from the calculation:
**Symmetry**: P4/mmm (123)
**D(E_F)**: 2.3 states/eV/f.u.
**Calculated density**: 8.3 g/cm³
**Offset from the most stable computed form**: 0.068 eV per atom
**DFT total energy**: -27.37 eV/cell
**Energy relative to the elements, uncorrected**: -1.293 eV per atom

***

[9]
First-principles (PBE) data for an optimized crystal structure of La2IrSe, as listed in Alexandria via LeMat-Bulk.

Geometry as POSCAR:
```
La2IrSe
1.0
-2.822 4.108 1.011
-1.828 0.738 4.688
1.882 3.725 2.905
Ir La Se
1 2 1
Direct
0.500 0.500 0.500
0.000 0.000 0.000
0.250 0.250 0.250
0.750 0.750 0.750
```

Values from the calculation:
**Symmetry**: F-43m (216)
**D(E_F)**: 4.4 states/eV/f.u.
**Calculated density**: 9.8 g/cm³
**Offset from the most stable computed form**: 0.967 eV per atom
**DFT total energy**: -23.78 eV/cell
**Energy relative to the elements, uncorrected**: -0.394 eV per atom

***

[10]
First-principles (PBE) data for an optimized crystal structure of La3IrSe, as listed in Alexandria via LeMat-Bulk.

Geometry as POSCAR:
```
La3IrSe
1.0
5.596 0.000 0.000
0.000 5.596 0.000
0.000 0.000 5.596
Ir Se La
1 1 3
Direct
0.000 0.000 0.000
0.500 0.500 0.500
0.000 0.500 0.000
0.000 0.000 0.500
0.500 0.000 0.000
```

Values from the calculation:
**Symmetry**: Pm-3m (221)
**D(E_F)**: 5.4 states/eV/f.u.
**Calculated density**: 6.5 g/cm³
**Offset from the most stable computed form**: 0.000 eV per atom
**DFT total energy**: -30.23 eV/cell
**Energy relative to the elements, uncorrected**: -0.620 eV per atom

***

[11]
First-principles (PBE) data for an optimized crystal structure of La2IrSe, as listed in Alexandria via LeMat-Bulk.

Geometry as POSCAR:
```
La2IrSe
1.0
0.625 1.987 4.750
-4.018 2.184 2.447
-2.134 -2.357 4.098
Ir Se La
1 1 2
Direct
0.500 0.500 0.500
0.000 0.000 0.000
0.250 0.250 0.250
0.750 0.750 0.750
```

Values from the calculation:
**Symmetry**: Fm-3m (225)
**D(E_F)**: 4.7 states/eV/f.u.
**Calculated density**: 9.2 g/cm³
**Offset from the most stable computed form**: 0.348 eV per atom
**DFT total energy**: -26.26 eV/cell
**Energy relative to the elements, uncorrected**: -1.014 eV per atom

***

[12]
First-principles (PBE) data for an optimized crystal structure of La2Ir2Se, as listed in Alexandria via LeMat-Bulk.

Geometry as POSCAR:
```
La2Ir2Se
1.0
7.680 0.000 0.000
0.000 7.680 0.000
0.000 0.000 3.926
Ir Se La
4 2 4
Direct
0.378 0.878 0.000
0.878 0.622 0.000
0.622 0.122 0.000
0.122 0.378 0.000
0.000 0.000 0.000
0.500 0.500 0.000
0.182 0.682 0.500
0.682 0.818 0.500
0.818 0.318 0.500
0.318 0.182 0.500
```

Values from the calculation:
**Symmetry**: P4/mbm (127)
**D(E_F)**: 0.7 states/eV/f.u.
**Calculated density**: 10.6 g/cm³
**Offset from the most stable computed form**: 0.055 eV per atom
**DFT total energy**: -69.51 eV/cell
**Energy relative to the elements, uncorrected**: -0.739 eV per atom

***

[13]
First-principles (PBE) data for an optimized crystal structure of La2IrSe, as listed in Alexandria via LeMat-Bulk.

Geometry as POSCAR:
```
La2IrSe
1.0
-3.029 -2.849 -0.596
-0.973 -1.252 -3.891
3.614 -6.721 -1.003
Ir Se La
1 1 2
Direct
0.250 0.250 0.250
0.750 0.750 0.750
0.991 0.991 0.025
0.509 0.509 0.475
```

Values from the calculation:
**Symmetry**: R-3m (166)
**D(E_F)**: 2.3 states/eV/f.u.
**Calculated density**: 8.2 g/cm³
**Offset from the most stable computed form**: 0.016 eV per atom
**DFT total energy**: -27.58 eV/cell
**Energy relative to the elements, uncorrected**: -1.346 eV per atom

***

[14]
First-principles (PBE) data for an optimized crystal structure of LaIr4Se8, as listed in Alexandria via LeMat-Bulk.

Geometry as POSCAR:
```
LaIr4Se8
1.0
6.971 0.000 3.179
2.760 6.401 3.179
0.783 0.515 7.516
La Ir Se
1 4 8
Direct
0.500 0.500 0.500
0.000 0.500 0.000
0.500 0.500 0.000
0.500 0.000 0.000
0.000 0.000 0.000
0.740 0.229 0.802
0.771 0.260 0.198
0.260 0.771 0.198
0.771 0.771 0.198
0.735 0.735 0.796
0.265 0.265 0.204
0.229 0.229 0.802
0.229 0.740 0.802
```

Values from the calculation:
**Symmetry**: R-3m (166)
**D(E_F)**: 7.7 states/eV/f.u.
**Calculated density**: 8.2 g/cm³
**DFT total energy**: -75.42 eV/cell
**Energy relative to the elements, uncorrected**: -0.552 eV per atom

***

no.,total magnetization (μB per formula unit),V (Å³/cell)
1,0.01,154.6
2,0.00,105.9
3,0.00,160.2
4,0.00,144.9
5,0.00,113.4
6,0.31,128.7
7,0.00,89.4
8,0.00,109.8
9,0.00,93.0
10,0.00,175.3
11,0.00,98.7
12,0.00,231.6
13,0.00,111.7
14,0.00,312.5